No. 1
YCd2OsO | the Alexandria database | PBE | relaxed; crystal system = tetragonal; E above lowest polymorph = 0 kJ/mol of formula units; E_form (uncorrected) = -36 meV per atom; calculated total energy = -24.66 eV for the cell shown
1.0
-5.291 1.187 -0.747
-0.947 -3.175 1.659
-0.108 2.560 4.837
Y Os O Cd
1 1 1 2
direct
0.500 0.500 0.500
0.000 0.000 0.000
0.000 0.500 0.000
0.000 0.000 0.500
0.500 0.000 0.000

No. 2
KLa2Ir2 | the Alexandria database | PBE | relaxed; formation energy = -0.249 eV/atom; crystal system = tetragonal; E above lowest polymorph = 20 kJ/mol of formula units; calculated total energy = -59.84 eV for the cell shown
1.0
-5.669 6.103 -1.994
-4.632 -2.046 6.908
1.806 2.296 1.891
K Ir La
2 4 4
direct
0.000 0.000 0.000
0.500 0.500 0.000
0.142 0.642 0.500
0.642 0.858 0.500
0.858 0.358 0.500
0.358 0.142 0.500
0.355 0.855 0.000
0.855 0.645 0.000
0.645 0.145 0.000
0.145 0.355 0.000

No. 3
MgRh3S | the Alexandria database | PBE | relaxed; crystal system = cubic; E above lowest polymorph = 0 kJ/mol of formula units; E_form (uncorrected) = -198 meV per atom; calculated total energy = -28.76 eV for the cell shown
1.0
4.380 0.000 0.000
0.000 4.380 0.000
0.000 0.000 4.380
S Rh Mg
1 3 1
direct
0.000 0.000 0.000
0.000 0.500 0.000
0.000 0.000 0.500
0.500 0.000 0.000
0.500 0.500 0.500

No. 4
TaBe2Ir | the Alexandria database | PBE | relaxed; formation energy = -0.104 eV/atom; crystal system = orthorhombic; calculated total energy = -28.58 eV for the cell shown
1.0
2.976 0.000 0.000
0.000 4.416 0.000
0.000 0.000 3.990
Be Ir Ta
2 1 1
direct
0.000 0.000 0.000
0.500 0.500 0.000
0.500 0.000 0.500
0.000 0.500 0.500

No. 5
La4Pr2Sn3N2 | the Alexandria database | PBE | relaxed; crystal system = tetragonal; E_form (uncorrected) = -951 meV per atom; calculated total energy = -68.39 eV for the cell shown
1.0
4.955 0.000 0.000
0.000 4.955 0.000
-2.478 -2.478 13.216
La Pr Sn N
4 2 3 2
direct
0.414 0.914 0.829
0.914 0.414 0.829
0.086 0.586 0.171
0.586 0.086 0.171
0.304 0.304 0.609
0.696 0.696 0.391
0.000 0.000 0.000
0.177 0.177 0.354
0.823 0.823 0.646
0.394 0.394 0.788
0.606 0.606 0.212

No. 6
CaMn2Zn2 | the Alexandria database | PBE | relaxed; formation energy = 0.306 eV/atom; crystal system = tetragonal; E above lowest polymorph = 23 kJ/mol of formula units; calculated total energy = -21.36 eV for the cell shown
1.0
-3.419 -0.667 2.720
0.985 -4.305 0.183
1.454 -1.724 4.997
Zn Mn Ca
2 2 1
direct
0.750 0.250 0.500
0.250 0.750 0.500
0.392 0.392 0.217
0.608 0.608 0.783
0.000 0.000 0.000

No. 7
NaCa4Ir | the Alexandria database | PBE | relaxed; formation energy = -0.188 eV/atom; crystal system = monoclinic; calculated total energy = -38.63 eV for the cell shown
1.0
-3.545 3.408 -4.166
5.771 -3.214 -5.165
-5.462 -6.002 2.110
Na Ca Ir
2 8 2
direct
0.750 0.617 0.383
0.250 0.383 0.617
0.880 0.672 0.829
0.054 0.938 0.266
0.620 0.171 0.328
0.446 0.734 0.062
0.554 0.266 0.938
0.380 0.829 0.672
0.946 0.062 0.734
0.120 0.328 0.171
0.250 0.000 0.000
0.750 0.000 0.000